(1)
{"formula": "HfAlNi2", "functional": "PBE-GGA", "state": "optimized geometry", "lattice": [[6.689, 0.000, 0.000], [0.000, 6.461, 0.000], [0.000, 0.000, 5.349]], "species": ["Hf", "Hf", "Hf", "Hf", "Al", "Al", "Al", "Al", "Ni", "Ni", "Ni", "Ni", "Ni", "Ni", "Ni", "Ni"], "fractional_positions": [[0.037, 0.250, 0.168], [0.463, 0.750, 0.668], [0.537, 0.250, 0.332], [0.963, 0.750, 0.832], [0.108, 0.750, 0.335], [0.392, 0.250, 0.835], [0.608, 0.750, 0.165], [0.892, 0.250, 0.665], [0.189, 0.051, 0.569], [0.189, 0.449, 0.569], [0.311, 0.551, 0.069], [0.311, 0.949, 0.069], [0.689, 0.051, 0.931], [0.689, 0.449, 0.931], [0.811, 0.551, 0.431], [0.811, 0.949, 0.431]], "volume_a3_per_cell": 231.15, "final_energy_ev_per_fu": -27.0}


(2)
{"formula": "Hf2Al4Ni", "functional": "PBE-GGA", "state": "optimized geometry", "lattice": [[-4.346, 4.346, 2.483], [4.346, -4.346, 2.483], [4.346, 4.346, -2.483]], "species": ["Hf", "Hf", "Al", "Al", "Al", "Al", "Ni"], "fractional_positions": [[0.250, 0.750, 0.500], [0.750, 0.250, 0.500], [0.000, 0.207, 0.207], [0.000, 0.793, 0.793], [0.207, 0.000, 0.207], [0.793, 0.000, 0.793], [0.500, 0.500, 0.000]], "volume_a3_per_cell": 187.59, "final_energy_ev_per_fu": -32.8}


(3)
{"formula": "HfAlNi2", "functional": "PBE-GGA", "state": "optimized geometry", "lattice": [[0.000, 3.043, 3.043], [3.043, 0.000, 3.043], [3.043, 3.043, 0.000]], "species": ["Hf", "Al", "Ni", "Ni"], "fractional_positions": [[0.000, 0.000, 0.000], [0.750, 0.750, 0.750], [0.250, 0.250, 0.250], [0.500, 0.500, 0.500]], "volume_a3_per_cell": 56.33, "final_energy_ev_per_fu": -26.0}


(4)
{"formula": "HfAl2Ni", "functional": "PBE-GGA", "state": "optimized geometry", "lattice": [[0.000, 3.144, 3.144], [3.144, 0.000, 3.144], [3.144, 3.144, 0.000]], "species": ["Hf", "Al", "Al", "Ni"], "fractional_positions": [[0.000, 0.000, 0.000], [0.250, 0.250, 0.250], [0.500, 0.500, 0.500], [0.750, 0.750, 0.750]], "volume_a3_per_cell": 62.16, "final_energy_ev_per_fu": -24.3}